A:
10
Lattice="7.931 0.000 0.000 0.000 7.931 0.000 0.000 0.000 2.738" Properties=species:S:1:pos:R:3 comment="ZrAl2Mo2 (PBE, relaxed)" spacegroup=P4/mbm pbc="T T T"
Mo 3.043 7.009 0.000
Mo 7.009 4.888 0.000
Mo 4.888 0.922 0.000
Mo 0.922 3.043 0.000
Al 1.424 5.389 1.369
Al 5.389 6.507 1.369
Al 6.507 2.542 1.369
Al 2.542 1.424 1.369
Zr 0.000 0.000 0.000
Zr 3.966 3.966 0.000

B:
10
Lattice="-0.340 -4.845 -5.079 6.891 0.736 -1.163 0.645 -2.437 2.281" Properties=species:S:1:pos:R:3 comment="ZrAl2Mo2 (PBE, relaxed)" spacegroup=P4/mbm pbc="T T T"
Mo 4.897 -1.558 -0.516
Mo 5.798 -3.866 -3.237
Mo 2.300 -4.987 -3.445
Mo 1.398 -2.679 -0.724
Al 5.902 -1.173 -2.922
Al 4.010 -3.779 -5.171
Al 0.649 -2.936 -3.320
Al 2.542 -0.330 -1.071
Zr 0.000 0.000 0.000
Zr 3.276 -2.054 -3.121

Stability ranking, top entry: B; the second entry is 164 meV per atom less favorable.

A:
5
Lattice="4.289 0.000 0.000 0.000 4.289 0.000 0.000 0.000 4.289" Properties=species:S:1:pos:R:3 comment="NaAl3N (PBE, relaxed)" spacegroup=Pm-3m pbc="T T T"
Na 2.144 2.144 2.144
Al 0.000 2.144 0.000
Al 0.000 0.000 2.144
Al 2.144 0.000 0.000
N 0.000 0.000 0.000

B:
5
Lattice="-4.084 -2.941 0.425 2.776 -3.518 2.329 -1.060 2.117 4.462" Properties=species:S:1:pos:R:3 comment="NaAl3N (PBE, relaxed)" spacegroup=Pm-3m pbc="T T T"
Na 0.000 0.000 0.000
Al 1.388 -1.759 1.164
Al -0.530 1.058 2.231
Al -2.042 -1.471 0.213
N -1.184 -2.171 3.608

Stability ranking, top entry: A; the second entry is 1838 meV per atom less favorable.

A:
5
Lattice="5.331 0.000 0.000 0.000 5.331 0.000 0.000 0.000 3.544" Properties=species:S:1:pos:R:3 comment="NaAlSe2N (PBE, relaxed)" spacegroup=P4/mmm pbc="T T T"
Na 2.666 2.666 1.772
Al 0.000 0.000 0.000
Se 0.000 2.666 0.000
Se 2.666 0.000 0.000
N 0.000 0.000 1.772

B:
5
Lattice="5.238 0.000 0.000 0.000 5.238 0.000 0.000 0.000 4.265" Properties=species:S:1:pos:R:3 comment="NaAlSe2N (PBE, relaxed)" spacegroup=P4/mmm pbc="T T T"
Na 0.000 0.000 0.000
Al 2.619 2.619 2.132
Se 0.000 2.619 0.000
Se 2.619 0.000 0.000
N 0.000 0.000 2.132

Stability ranking, top entry: A; the second entry is 1260 meV per atom less favorable.

A:
5
Lattice="-3.425 2.734 0.219 -2.714 -3.429 0.359 0.551 0.202 6.088" Properties=species:S:1:pos:R:3 comment="NaAlTeN2 (PBE, relaxed)" spacegroup=P4/mmm pbc="T T T"
Na 0.000 0.000 0.000
Te 0.275 0.101 3.044
Al -2.794 -0.247 3.333
N -1.357 -1.714 0.180
N -1.712 1.367 0.110

B:
5
Lattice="-1.820 -3.446 -0.964 1.182 -1.600 3.488 -4.847 1.861 2.497" Properties=species:S:1:pos:R:3 comment="NaAlTeN2 (PBE, relaxed)" spacegroup=P4/mmm pbc="T T T"
Na -2.742 -1.593 2.510
Te -2.423 0.931 1.248
Al 0.000 0.000 0.000
N 0.591 -0.800 1.744
N -0.910 -1.723 -0.482

Stability ranking, top entry: B; the second entry is 1142 meV per atom less favorable.

A:
28
Lattice="7.332 0.000 4.233 2.444 6.913 4.233 0.000 0.000 8.467" Properties=species:S:1:pos:R:3 comment="Nb4Al2N (PBE, relaxed)" spacegroup=Fd-3m pbc="T T T"
Nb 0.553 0.391 4.233
Nb 4.888 0.864 8.467
Nb 3.390 5.576 11.062
Nb 1.498 3.066 2.595
Nb 4.336 3.066 4.233
Nb 6.387 1.337 5.871
Nb 3.390 5.576 5.871
Nb 1.891 1.337 8.467
Nb 3.390 0.391 2.595
Nb 7.885 5.576 8.467
Nb 6.110 4.321 6.350
Nb 1.498 3.066 5.871
Nb 3.390 0.391 5.871
Nb 6.387 1.337 11.062
Nb 6.110 4.321 10.583
Nb 2.444 4.321 8.467
Al 4.013 2.838 9.983
Al 4.888 5.313 8.467
Al 4.013 2.838 6.951
Al 8.208 5.804 14.216
Al 8.208 5.804 11.184
Al 5.582 5.804 12.700
Al 6.639 2.838 8.467
Al 7.332 3.328 12.700
N 4.888 0.864 4.233
N 2.444 4.321 4.233
N 1.222 0.864 2.117
N 1.222 0.864 6.350

B:
7
Lattice="4.107 0.000 0.000 0.000 4.107 0.000 2.054 2.054 7.097" Properties=species:S:1:pos:R:3 comment="Nb4Al2N (PBE, relaxed)" spacegroup=I4/mmm pbc="T T T"
Nb 2.054 2.054 4.799
Nb 4.107 4.107 2.299
Nb 0.000 2.054 0.000
Nb 2.054 0.000 0.000
Al 2.054 2.054 2.075
Al 4.107 4.107 5.022
N 0.000 0.000 0.000

Stability ranking, top entry: A; the second entry is 287 meV per atom less favorable.

A:
5
Lattice="-0.394 -2.159 4.070 -3.422 -2.598 -1.710 2.367 -2.422 -1.056" Properties=species:S:1:pos:R:3 comment="NbAlS2N (PBE, relaxed)" spacegroup=P4/mmm pbc="T T T"
Nb -0.725 -3.590 0.652
N 1.184 -1.211 -0.528
S -1.711 -1.299 -0.855
S -0.197 -1.080 2.035
Al 0.000 0.000 0.000

B:
5
Lattice="-2.896 -1.900 3.542 3.984 -1.938 2.218 0.421 3.257 2.091" Properties=species:S:1:pos:R:3 comment="NbAlS2N (PBE, relaxed)" spacegroup=P4/mmm pbc="T T T"
Nb 0.000 0.000 0.000
N 0.210 1.629 1.045
S 1.992 -0.969 1.109
S -1.448 -0.950 1.771
Al 0.754 -0.290 3.925

Stability ranking, top entry: B; the second entry is 220 meV per atom less favorable.

A:
5
Lattice="-0.899 -3.402 -1.346 0.726 -1.525 3.367 -3.585 0.544 1.020" Properties=species:S:1:pos:R:3 comment="AlNi3N (PBE, relaxed)" spacegroup=Pm-3m pbc="T T T"
Ni 0.363 -0.762 1.684
Ni -1.793 0.272 0.510
Ni -0.449 -1.701 -0.673
Al -1.879 -2.191 1.520
N 0.000 0.000 0.000

B:
5
Lattice="4.258 0.000 0.000 0.000 4.258 0.000 0.000 0.000 4.258" Properties=species:S:1:pos:R:3 comment="AlNi3N (PBE, relaxed)" spacegroup=Pm-3m pbc="T T T"
Ni 0.000 2.129 0.000
Ni 0.000 0.000 2.129
Ni 2.129 0.000 0.000
Al 0.000 0.000 0.000
N 2.129 2.129 2.129

Stability ranking, top entry: A; the second entry is 2061 meV per atom less favorable.

A:
8
Lattice="4.580 0.000 0.000 0.000 4.580 0.000 2.290 2.290 5.150" Properties=species:S:1:pos:R:3 comment="AlNi2N (PBE, relaxed)" spacegroup=I-42d pbc="T T T"
Ni 2.851 1.145 1.288
Ni 1.729 3.435 1.288
Ni 3.435 4.019 3.863
Ni 5.725 5.141 3.863
Al 0.000 0.000 0.000
Al 4.580 2.290 2.575
N 2.290 2.290 0.000
N 2.290 4.580 2.575

B:
4
Lattice="0.000 2.768 2.768 2.768 0.000 2.768 2.768 2.768 0.000" Properties=species:S:1:pos:R:3 comment="AlNi2N (PBE, relaxed)" spacegroup=Fm-3m pbc="T T T"
Ni 1.384 1.384 1.384
Ni 4.152 4.152 4.152
Al 2.768 2.768 2.768
N 0.000 0.000 0.000

Stability ranking, top entry: A; the second entry is 490 meV per atom less favorable.

A:
5
Lattice="-4.296 -2.185 1.250 0.830 -3.564 -3.376 1.631 -1.857 2.361" Properties=species:S:1:pos:R:3 comment="AlNiSe2N (PBE, relaxed)" spacegroup=P4/mmm pbc="T T T"
Ni 0.000 0.000 0.000
Al -0.918 -3.803 0.117
Se 0.415 -1.782 -1.688
Se -2.148 -1.092 0.625
N 0.815 -0.928 1.180

B:
5
Lattice="5.015 0.000 0.000 0.000 5.015 0.000 0.000 0.000 3.508" Properties=species:S:1:pos:R:3 comment="AlNiSe2N (PBE, relaxed)" spacegroup=P4/mmm pbc="T T T"
Ni 2.508 2.508 1.754
Al 0.000 0.000 0.000
Se 0.000 2.508 0.000
Se 2.508 0.000 0.000
N 0.000 0.000 1.754

Stability ranking, top entry: A; the second entry is 173 meV per atom less favorable.

A:
5
Lattice="-1.202 -3.500 -3.292 2.920 1.458 -2.617 3.337 -3.050 2.024" Properties=species:S:1:pos:R:3 comment="SrAlNi2N (PBE, relaxed)" spacegroup=P4/mmm pbc="T T T"
Sr 0.000 0.000 0.000
N 1.460 0.729 -1.308
Al 2.527 -2.546 -1.943
Ni 1.669 -1.525 1.012
Ni -0.601 -1.750 -1.646

B:
5
Lattice="-3.510 1.800 2.104 -0.892 -3.403 1.425 2.562 0.823 3.570" Properties=species:S:1:pos:R:3 comment="SrAlNi2N (PBE, relaxed)" spacegroup=P4/mmm pbc="T T T"
Sr -0.920 -0.390 3.549
N 0.000 0.000 0.000
Al -0.446 -1.702 0.712
Ni 1.281 0.412 1.785
Ni -1.755 0.900 1.052

Stability ranking, top entry: B; the second entry is 1642 meV per atom less favorable.

A:
5
Lattice="5.522 0.000 0.000 0.000 5.522 0.000 0.000 0.000 3.395" Properties=species:S:1:pos:R:3 comment="AlNiTe2N (PBE, relaxed)" spacegroup=P4/mmm pbc="T T T"
Ni 2.761 2.761 1.698
Te 0.000 2.761 0.000
Te 2.761 0.000 0.000
Al 0.000 0.000 0.000
N 0.000 0.000 1.698

B:
5
Lattice="5.396 0.000 0.000 0.000 5.396 0.000 0.000 0.000 3.438" Properties=species:S:1:pos:R:3 comment="AlNiTe2N (PBE, relaxed)" spacegroup=P4/mmm pbc="T T T"
Ni 0.000 0.000 0.000
Te 0.000 2.698 0.000
Te 2.698 0.000 0.000
Al 2.698 2.698 1.719
N 0.000 0.000 1.719

Stability ranking, top entry: B; the second entry is 142 meV per atom less favorable.

A:
4
Lattice="3.146 -0.001 0.001 0.001 3.146 -0.001 0.000 0.001 4.441" Properties=species:S:1:pos:R:3 comment="Al2NO (PBE, relaxed)" spacegroup=P-4m2 pbc="T T T"
Al 2.413 0.931 1.947
Al 0.840 2.504 4.224
N 0.840 0.931 0.865
O 2.414 2.504 3.086

B:
4
Lattice="0.000 2.661 2.661 2.661 0.000 2.661 2.661 2.661 0.000" Properties=species:S:1:pos:R:3 comment="Al2NO (PBE, relaxed)" spacegroup=Fm-3m pbc="T T T"
Al 1.330 1.330 1.330
Al 3.991 3.991 3.991
O 2.661 2.661 2.661
N 0.000 0.000 0.000

Stability ranking, top entry: A; the second entry is 1180 meV per atom less favorable.

A:
5
Lattice="-2.615 1.989 -1.248 -2.214 -1.467 2.301 0.777 2.484 2.331" Properties=species:S:1:pos:R:3 comment="AlN2O2 (PBE, relaxed)" spacegroup=P4/mmm pbc="T T T"
Al -2.026 1.503 1.692
O 0.000 0.000 0.000
O 0.388 1.242 1.165
N -1.107 -0.734 1.151
N -1.307 0.994 -0.624

B:
5
Lattice="3.472 0.000 0.000 0.000 3.472 0.000 0.000 0.000 5.176" Properties=species:S:1:pos:R:3 comment="AlN2O2 (PBE, relaxed)" spacegroup=P4/mmm pbc="T T T"
Al 0.000 0.000 0.000
O 0.000 1.736 0.000
O 1.736 0.000 0.000
N 1.736 1.736 2.588
N 0.000 0.000 2.588

Stability ranking, top entry: B; the second entry is 782 meV per atom less favorable.